{"formula": "K2TaOs", "functional": "PBEsol", "state": "optimized geometry", "lattice_angstrom": [[-1.890, 1.890, 5.974], [1.890, -1.890, 5.974], [1.890, 1.890, -5.974]], "species": ["K", "K", "Ta", "Os"], "frac_coords": [[0.250, 0.750, 0.500], [0.750, 0.250, 0.500], [0.000, 0.000, 0.000], [0.500, 0.500, 0.000]], "formation_enthalpy_0k_ev_per_fu": 4.84, "vol_a3_per_cell": 85.4, "relative_energy_ev_per_atom": 0.147, "dft_energy_ev_per_atom": -5.5482, "sg": "No. 139", "dos_ef_per_ev_cell": 3.26}